No. 1
VASP calculation (PBE-GGA) on a relaxed HfNb2W crystal.

Geometry as POSCAR:
```
HfNb2W
1.0
-3.7368 3.7368 2.8448
3.7368 -3.7368 2.8448
3.7368 3.7368 -2.8448
Hf Nb W
2 4 2
Cartesian
0.0000 0.0000 0.0000 Hf
0.0000 3.7368 1.4224 Hf
1.8684 -1.6707 2.1336 Nb
2.0661 1.8684 0.7112 Nb
1.8684 5.4075 -0.7112 Nb
1.6707 1.8684 3.5560 Nb
3.7368 0.0000 1.4224 W
0.0000 0.0000 2.8448 W
```

Calculated values
Total magnetization   0.00 μB/f.u.
Distance to the lowest polymorph of the same formula   0.610 eV per atom
E_tot   -0.372 hartree per atom


No. 2
VASP calculation (PBE-GGA) on a relaxed HfNb2W crystal.

Geometry as POSCAR:
```
HfNb2W
1.0
3.2743 0.0000 0.0000
0.0000 3.2743 0.0000
0.0000 0.0000 6.9148
Hf Nb W
1 2 1
Cartesian
0.0000 0.0000 0.0000 Hf
1.6371 1.6371 1.8866 Nb
1.6371 1.6371 5.0282 Nb
0.0000 0.0000 3.4574 W
```

Calculated values
Total magnetization   0.00 μB/f.u.
Distance to the lowest polymorph of the same formula   0.000 eV per atom
E_tot   -0.395 hartree per atom


No. 3
VASP calculation (PBE-GGA) on a relaxed HfNbW crystal.

Geometry as POSCAR:
```
HfNbW
1.0
4.6565 0.0000 0.0000
-2.3283 4.0327 0.0000
0.0000 0.0000 2.9508
Hf Nb W
1 1 1
Cartesian
0.0000 0.0000 0.0000 Hf
0.0000 2.6885 1.1025 Nb
2.3283 1.3442 1.9001 W
```

Calculated values
Total magnetization   0.00 μB/f.u.
Distance to the lowest polymorph of the same formula   0.098 eV per atom
E_tot   -0.403 hartree per atom


No. 4
VASP calculation (PBE-GGA) on a relaxed HfNb2W crystal.

Geometry as POSCAR:
```
HfNb2W
1.0
1.5640 0.9030 9.0120
-1.5640 0.9030 9.0120
0.0000 -1.8060 9.0120
Hf Nb W
1 2 1
Cartesian
0.0000 0.0000 0.0000 Hf
0.0000 0.0000 6.5642 Nb
0.0000 0.0000 20.4718 Nb
0.0000 0.0000 13.5180 W
```

Calculated values
Total magnetization   0.00 μB/f.u.
Distance to the lowest polymorph of the same formula   0.253 eV per atom
E_tot   -0.385 hartree per atom


No. 5
VASP calculation (PBE-GGA) on a relaxed HfNbW crystal.

Geometry as POSCAR:
```
HfNbW
1.0
-1.6560 1.6560 5.0867
1.6560 -1.6560 5.0867
1.6560 1.6560 -5.0867
Hf Nb W
1 1 1
Cartesian
0.0000 0.0000 0.0000 Hf
0.0000 0.0000 3.1867 Nb
0.0000 0.0000 6.8394 W
```

Calculated values
Total magnetization   0.00 μB/f.u.
Distance to the lowest polymorph of the same formula   0.085 eV per atom
E_tot   -0.403 hartree per atom


No. 6
VASP calculation (PBE-GGA) on a relaxed HfNbW14 crystal.

Geometry as POSCAR:
```
HfNbW14
1.0
3.1991 -4.5340 0.0000
3.1991 4.5340 0.0000
0.0000 0.0000 9.0856
Hf Nb W
1 1 14
Cartesian
0.0000 0.0000 0.0000 Hf
3.1991 0.0000 0.0000 Nb
0.0000 0.0000 4.5428 W
1.5995 2.2670 0.0000 W
1.5995 2.2670 4.5428 W
3.1991 2.2718 2.2875 W
3.1991 2.2718 6.7981 W
1.6088 0.0000 2.3306 W
1.6088 0.0000 6.7550 W
1.5995 -2.2670 0.0000 W
1.5995 -2.2670 4.5428 W
3.1991 0.0000 4.5428 W
4.7894 0.0000 2.3306 W
4.7894 0.0000 6.7550 W
3.1991 -2.2718 2.2875 W
3.1991 -2.2718 6.7981 W
```

Calculated values
Total magnetization   0.00 μB/f.u.
E_tot   -0.464 hartree per atom


No. 7
VASP calculation (PBE-GGA) on a relaxed HfNbW crystal.

Geometry as POSCAR:
```
HfNbW
1.0
0.0000 4.4258 4.7684
2.8390 0.0000 4.7684
2.8390 4.4258 0.0000
Hf Nb W
2 2 2
Cartesian
2.8390 1.5453 4.7684 Hf
2.8390 7.3063 4.7684 Hf
2.8390 4.4258 3.1739 Nb
2.8390 4.4258 6.3630 Nb
1.4195 2.2129 2.3842 W
4.2586 6.6387 7.1526 W
```

Calculated values
Total magnetization   0.00 μB/f.u.
Distance to the lowest polymorph of the same formula   0.317 eV per atom
E_tot   -0.395 hartree per atom


No. 8
VASP calculation (PBE-GGA) on a relaxed HfNbW crystal.

Geometry as POSCAR:
```
HfNbW
1.0
-2.7046 2.7551 3.8544
2.7046 -2.7551 3.8544
2.7046 2.7551 -3.8544
Hf Nb W
2 2 2
Cartesian
0.0000 1.3775 0.9518 Hf
2.7046 1.3775 2.9026 Hf
2.7046 0.0000 0.0000 Nb
0.0000 0.0000 3.8544 Nb
1.3523 1.3775 -1.9272 W
1.3523 -1.3775 1.9272 W
```

Calculated values
Total magnetization   0.00 μB/f.u.
Distance to the lowest polymorph of the same formula   0.000 eV per atom
E_tot   -0.406 hartree per atom


No. 9
VASP calculation (PBE-GGA) on a relaxed HfNbW3 crystal.

Geometry as POSCAR:
```
HfNbW3
1.0
4.7448 0.0000 0.0000
0.0000 4.7448 0.0000
0.0000 0.0000 4.7448
Hf Nb W
1 1 3
Cartesian
0.0000 0.0000 0.0000 Hf
2.3724 2.3724 2.3724 Nb
0.0000 0.0000 2.3724 W
0.0000 2.3724 0.0000 W
2.3724 0.0000 0.0000 W
```

Calculated values
Total magnetization   0.00 μB/f.u.
Distance to the lowest polymorph of the same formula   0.505 eV per atom
E_tot   -0.345 hartree per atom


No. 10
VASP calculation (PBE-GGA) on a relaxed HfNb2W crystal.

Geometry as POSCAR:
```
HfNb2W
1.0
0.0000 3.3181 3.3181
3.3181 0.0000 3.3181
3.3181 3.3181 0.0000
Hf Nb W
1 2 1
Cartesian
0.0000 0.0000 0.0000 Hf
1.6590 1.6590 1.6590 Nb
4.9771 4.9771 4.9771 Nb
3.3181 3.3181 3.3181 W
```

Calculated values
Total magnetization   0.00 μB/f.u.
Distance to the lowest polymorph of the same formula   0.022 eV per atom
E_tot   -0.394 hartree per atom


No. 11
VASP calculation (PBE-GGA) on a relaxed HfNbW4 crystal.

Geometry as POSCAR:
```
HfNbW4
1.0
0.0000 3.7837 3.7837
3.7837 0.0000 3.7837
3.7837 3.7837 0.0000
Hf Nb W
1 1 4
Cartesian
0.0000 0.0000 0.0000 Hf
1.8919 1.8919 1.8919 Nb
4.7292 2.8383 2.8383 W
2.8383 4.7292 2.8383 W
2.8383 2.8383 4.7292 W
4.7292 4.7292 4.7292 W
```

Calculated values
Total magnetization   0.00 μB/f.u.
E_tot   -0.442 hartree per atom


No. 12
VASP calculation (PBE-GGA) on a relaxed Hf2Nb5W crystal.

Geometry as POSCAR:
```
Hf2Nb5W
1.0
-2.3434 2.3434 6.8709
2.3434 -2.3434 6.8709
2.3434 2.3434 -6.8709
Hf Nb W
2 5 1
Cartesian
0.0000 0.0000 3.4145 Hf
0.0000 0.0000 10.3272 Hf
2.3434 0.0000 1.5606 Nb
2.3434 0.0000 5.3103 Nb
0.0000 0.0000 6.8709 Nb
0.0000 2.3434 1.5606 Nb
0.0000 2.3434 5.3103 Nb
0.0000 0.0000 0.0000 W
```

Calculated values
Total magnetization   0.00 μB/f.u.
E_tot   -0.382 hartree per atom